Record 1
A plane-wave DFT calculation with GGA-PBE was carried out for Rb3Sn2H4 after structural relaxation.

abc: 8.730 8.730 9.420
angles: 99.40 99.40 51.04
Fractional positions:
Rb (0.094, 0.906, 0.750)
Rb (0.238, 0.463, 0.358)
Rb (0.463, 0.238, 0.858)
Rb (0.537, 0.762, 0.142)
Rb (0.762, 0.537, 0.642)
Rb (0.906, 0.094, 0.250)
Sn (0.056, 0.296, 0.020)
Sn (0.296, 0.056, 0.520)
Sn (0.704, 0.944, 0.480)
Sn (0.944, 0.704, 0.980)
H (0.060, 0.603, 0.809)
H (0.179, 0.634, 0.073)
H (0.366, 0.821, 0.427)
H (0.397, 0.940, 0.691)
H (0.603, 0.060, 0.309)
H (0.634, 0.179, 0.573)
H (0.821, 0.366, 0.927)
H (0.940, 0.397, 0.191)

The density of states at the Fermi level comes out at 4.41 states/eV per cell. As for the total energy: -2.78 eV/atom.



Record 2
A plane-wave DFT calculation with GGA-PBE was carried out for Ta2InW after structural relaxation.

abc: 2.854 4.717 5.544
angles: 90.00 99.68 90.00
Fractional positions:
Ta (0.000, 0.000, 0.000)
Ta (0.269, 0.500, 0.748)
In (0.571, 0.000, 0.492)
W (0.749, 0.500, 0.218)

As for the formation energy: 0.199 eV/atom. The density of states at the Fermi level comes out at 2.88 states/eV per cell.



Record 3
A plane-wave DFT calculation with GGA-PBE was carried out for IrSIO2 after structural relaxation.

abc: 3.772 3.772 8.406
angles: 90.00 90.00 90.00
Fractional positions:
Ir (0.000, 0.000, 0.000)
S (0.500, 0.500, 0.500)
I (0.000, 0.000, 0.500)
O (0.000, 0.500, 0.000)
O (0.500, 0.000, 0.000)

As for the formation energy from raw total energies: -35 meV per atom. The density of states at the Fermi level comes out at 4.82 states/eV per cell.



Record 4
A plane-wave DFT calculation with GGA-PBE was carried out for Tc2IrBr after structural relaxation.

abc: 4.440 4.440 4.440
angles: 60.00 60.00 60.00
Fractional positions:
Tc (0.250, 0.250, 0.250)
Tc (0.750, 0.750, 0.750)
Ir (0.000, 0.000, 0.000)
Br (0.500, 0.500, 0.500)

As for the formation energy from raw total energies: 810 meV per atom. The density of states at the Fermi level comes out at 2.31 states/eV per cell.



Which formula does entry 2 have? Ta2InW



What is the density of states at the Fermi level in the fourth record? 2.31 states/eV per cell



Which formula does entry 2 have? Ta2InW